## KLi2MnI6 (GGA-PBE)

Data for an optimized crystal structure of KLi2MnI6.

Cell lengths 10.296, 10.296, 8.985 Å; angles 109.45, 109.45, 79.79 degrees
Element x y z (fractional)
K 0.157 0.843 0.750
K 0.843 0.157 0.250
Li 0.363 0.492 0.852
Li 0.492 0.363 0.352
Li 0.508 0.637 0.648
Li 0.637 0.508 0.148
Mn 0.179 0.821 0.250
Mn 0.821 0.179 0.750
I 0.032 0.209 0.671
I 0.123 0.628 0.967
I 0.209 0.032 0.171
I 0.294 0.463 0.518
I 0.372 0.877 0.533
I 0.463 0.294 0.018
I 0.537 0.706 0.982
I 0.628 0.123 0.467
I 0.706 0.537 0.482
I 0.791 0.968 0.829
I 0.877 0.372 0.033
I 0.968 0.791 0.329

Calculated values
The value obtained for the total energy is -64.00 eV/cell. Its space-group type is C2/c. The crystal system is monoclinic.


## K3Li3MnI8 (GGA-PBE)

Data for an optimized crystal structure of K3Li3MnI8.

Cell lengths 9.579, 9.579, 9.579 Å; angles 55.37, 55.37, 55.37 degrees
Element x y z (fractional)
K 0.000 0.500 0.500
K 0.500 0.000 0.500
K 0.500 0.500 0.000
Li 0.000 0.000 0.500
Li 0.000 0.500 0.000
Li 0.500 0.000 0.000
Mn 0.500 0.500 0.500
I 0.235 0.235 0.235
I 0.244 0.727 0.727
I 0.273 0.273 0.756
I 0.273 0.756 0.273
I 0.727 0.244 0.727
I 0.727 0.727 0.244
I 0.756 0.273 0.273
I 0.765 0.765 0.765

Calculated values
The value obtained for the total energy is -47.46 eV/cell. Its space-group type is R-3m. The crystal system is trigonal.